(1)
A plane-wave DFT calculation with GGA-PBE was carried out for an optimized crystal structure of Sn2I2Br.

* Fermi-level density of states: 2.290 states/eV/f.u.
* SG: No. 127
* mass density: 5734 kg/m³
* energy relative to the lowest polymorph listed for this composition: 0 meV per atom
* energy: -2.8810 eV/atom
* uncorrected formation energy: -0.325 eV/atom

abc: 8.212 8.212 4.906
angles: 90.00 90.00 90.00
Sites, in units of the cell vectors:
1 Sn 0.149 0.351 0.000
2 Sn 0.351 0.851 0.000
3 Sn 0.649 0.149 0.000
4 Sn 0.851 0.649 0.000
5 I 0.166 0.666 0.500
6 I 0.334 0.166 0.500
7 I 0.666 0.834 0.500
8 I 0.834 0.334 0.500
9 Br 0.000 0.000 0.000
10 Br 0.500 0.500 0.000

=====

(2)
A plane-wave DFT calculation with GGA-PBE was carried out for an optimized crystal structure of Sn2I2Br.

* Fermi-level density of states: 2.903 states/eV/f.u.
* SG: No. 62
* mass density: 4576 kg/m³
* energy relative to the lowest polymorph listed for this composition: 9 meV per atom
* energy: -2.8724 eV/atom
* uncorrected formation energy: -0.317 eV/atom

abc: 9.092 6.758 13.490
angles: 90.00 90.00 90.00
Sites, in units of the cell vectors:
1 Sn 0.095 0.250 0.244
2 Sn 0.145 0.250 0.583
3 Sn 0.355 0.750 0.083
4 Sn 0.405 0.750 0.744
5 Sn 0.595 0.250 0.256
6 Sn 0.645 0.250 0.917
7 Sn 0.855 0.750 0.417
8 Sn 0.905 0.750 0.756
9 I 0.096 0.750 0.236
10 I 0.140 0.750 0.579
11 I 0.360 0.250 0.079
12 I 0.404 0.250 0.736
13 I 0.596 0.750 0.264
14 I 0.640 0.750 0.921
15 I 0.860 0.250 0.421
16 I 0.904 0.250 0.764
17 Br 0.180 0.750 0.897
18 Br 0.320 0.250 0.397
19 Br 0.680 0.750 0.603
20 Br 0.820 0.250 0.103